A plane-wave DFT calculation with SCAN was carried out for Y2NiRh at its PBEsol-relaxed geometry.

a b c (Å): 4.717 4.717 3.408
angles (deg): 90.00 90.00 90.00
Positions (direct):
Y  0.000  0.500  0.000
Y  0.500  0.000  0.000
Ni  0.000  0.000  0.500
Rh  0.500  0.500  0.500

Properties
The energy of formation from the pure elements is -0.661 eV per atom. Its space group is P4/mmm (123). The total magnetic moment comes out at 0.000 Bohr magnetons per cell. Its total energy is -108.275 eV for the cell shown.